A relaxed MnCrHPd2 crystal, computed with PBE.

Summary:
The calculated total energy is -6.442 eV/atom. The density of states at the Fermi level is 3.4 states/eV per cell. The space group is P4/mmm (123).

Cell lengths 4.116, 4.116, 3.784 Å; angles 90.00, 90.00, 90.00 degrees
Last column: magnetic moment on the atom in μB.
Atoms (fractional coordinates):
Cr1 0.000 0.000 0.500  3.37
Mn1 0.500 0.500 0.500  4.07
Pd1 0.000 0.500 0.000  0.33
Pd2 0.500 0.000 0.000  0.33
H1 0.000 0.000 0.000  0.00